Compound: NaHfCoSe2
Source: Alexandria
Functional: PBE
Structure: relaxed

The space group is P4/mmm (No. 123) and the conventional cell measures 4.7026, 4.7026 and 4.4362 Å, with angles of 90.00, 90.00 and 90.00 degrees. Symmetry generates all atoms from Na at (0.0000, 0.0000, 0.0000), Hf at (0.5000, 0.5000, 0.0000), Co at (0.0000, 0.0000, 0.5000) and Se at (0.0000, 0.5000, 0.5000).

Its total energy is -23.6 eV/cell.